1.
Below is a relaxed structure of SmSc4Ga5, with properties calculated at the GGA-PBE level.

The structure belongs to space group P4/mmm (No. 123); the cell edges are 3.423, 3.423 and 17.011 Å and the angles 90.00°, 90.00° and 90.00°. Symmetry generates all atoms from Sm at (0.000, 0.000, 0.000), Sc at (0.000, 0.000, 0.212), Sc at (0.000, 0.000, 0.404), Ga at (0.500, 0.500, 0.117), Ga at (0.500, 0.500, 0.308) and Ga at (0.500, 0.500, 0.500).

The energy relative to the elements comes out at -0.586 eV/atom. Its raw total energy is -5.1043 eV per atom.

2.
Below is a relaxed structure of SrAc4Se7, with properties calculated at the GGA-PBE level.

The structure belongs to space group Cm (No. 8); the cell edges are 14.673, 4.377 and 12.959 Å and the angles 90.00°, 105.64° and 90.00°. Symmetry generates all atoms from Sr at (0.000, 0.000, 0.000), Ac at (0.125, 0.000, 0.420), Ac at (0.228, 0.000, 0.849), Ac at (0.319, 0.500, 0.233), Ac at (0.432, 0.000, 0.629), Se at (0.078, 0.000, 0.634), Se at (0.096, 0.500, 0.893), Se at (0.166, 0.000, 0.203), Se at (0.284, 0.500, 0.475), Se at (0.349, 0.500, 0.773), Se at (0.376, 0.000, 0.073) and Se at (0.466, 0.000, 0.377).

The formation energy (no corrections) is -2.01 eV per atom. Its raw total energy is -5.5476 eV per atom.

3.
Below is a relaxed structure of Nb2Al, with properties calculated at the GGA-PBE level.

The structure belongs to space group P4_2/mnm (No. 136); the cell edges are 9.990, 9.990 and 5.198 Å and the angles 90.00°, 90.00° and 90.00°. Symmetry generates all atoms from Nb at (0.035, 0.372, 0.000), Nb at (0.103, 0.103, 0.000), Nb at (0.182, 0.818, 0.248), Al at (0.000, 0.000, 0.500) and Al at (0.067, 0.262, 0.500).

The energy relative to the elements comes out at -0.315 eV/atom. Its raw total energy is -8.2759 eV per atom.

4.
Below is a relaxed structure of La2ZnCu, with properties calculated at the GGA-PBE level.

The structure belongs to space group F-43m (No. 216); the cell edges are 7.126, 7.126 and 7.126 Å and the angles 90.00°, 90.00° and 90.00°. Symmetry generates all atoms from La at (0.000, 0.000, 0.000), La at (0.250, 0.250, 0.250), Zn at (0.250, 0.250, 0.750) and Cu at (0.000, 0.000, 0.500).

The energy relative to the elements comes out at 0.026 eV/atom. Its raw total energy is -3.7807 eV per atom.

5.
Below is a relaxed structure of Sr2PaTe4, with properties calculated at the GGA-PBE level.

The structure belongs to space group Pbam (No. 55); the cell edges are 8.295, 13.813 and 4.667 Å and the angles 90.00°, 90.00° and 90.00°. Symmetry generates all atoms from Sr at (0.095, 0.183, 0.000), Pa at (0.000, 0.500, 0.500), Te at (0.124, 0.709, 0.500) and Te at (0.240, 0.453, 0.000).

The formation energy (no corrections) is -1.30 eV per atom. Its raw total energy is -4.9356 eV per atom.

6.
Below is a relaxed structure of HPdPb3, with properties calculated at the GGA-PBE level.

The structure belongs to space group Pm-3m (No. 221); the cell edges are 5.367, 5.367 and 5.367 Å and the angles 90.00°, 90.00° and 90.00°. Symmetry generates all atoms from H at (0.000, 0.000, 0.000), Pd at (0.500, 0.500, 0.500) and Pb at (0.000, 0.500, 0.500).

The polymorph energy (0 for the lowest one) is 0.5150 eV per atom. Its raw total energy is -3.3773 eV per atom.

7.
Below is a relaxed structure of AlGe2Mo2, with properties calculated at the GGA-PBE level.

The structure belongs to space group P4/mbm (No. 127); the cell edges are 6.907, 6.907 and 3.419 Å and the angles 90.00°, 90.00° and 90.00°. Symmetry generates all atoms from Al at (0.000, 0.000, 0.000), Ge at (0.149, 0.351, 0.500) and Mo at (0.148, 0.648, 0.000).

The polymorph energy (0 for the lowest one) is 0.0000 eV per atom. The energy relative to the elements comes out at -0.002 eV/atom. Its raw total energy is -6.9300 eV per atom.

8.
Below is a relaxed structure of LiPaAsO, with properties calculated at the GGA-PBE level.

The structure belongs to space group P4/nmm (No. 129, origin choice 2); the cell edges are 3.861, 3.861 and 8.946 Å and the angles 90.00°, 90.00° and 90.00°. Symmetry generates all atoms from Li at (0.250, 0.750, 0.000), Pa at (0.250, 0.250, 0.350), As at (0.250, 0.250, 0.808) and O at (0.250, 0.750, 0.500).

The formation energy (no corrections) is -1.88 eV per atom. Its raw total energy is -7.1362 eV per atom.

9.
Below is a relaxed structure of LaHf2Ir2, with properties calculated at the GGA-PBE level.

The structure belongs to space group I4/mmm (No. 139); the cell edges are 4.511, 4.511 and 11.105 Å and the angles 90.00°, 90.00° and 90.00°. Symmetry generates all atoms from La at (0.000, 0.000, 0.000), Hf at (0.000, 0.500, 0.250) and Ir at (0.000, 0.000, 0.380).

The polymorph energy (0 for the lowest one) is 0.0000 eV per atom. The energy relative to the elements comes out at -0.844 eV/atom. Its raw total energy is -9.3553 eV per atom.

10.
Below is a relaxed structure of Cd3GaH2Pd9, with properties calculated at the GGA-PBE level.

The structure belongs to space group P-3m1 (No. 164); the cell edges are 5.8591, 5.8591 and 7.6920 Å and the angles 90.00°, 90.00° and 120.00°. Symmetry generates all atoms from Cd at (0.0000, 0.0000, 0.0000), Cd at (0.3333, 0.6667, 0.6527), Ga at (0.0000, 0.0000, 0.5000), H at (0.3333, 0.6667, 0.1085), Pd at (0.0000, 0.5000, 0.0000) and Pd at (0.1757, 0.3513, 0.2974).

Its raw total energy is -4.2323 eV per atom.

11.
Below is a relaxed structure of TiNbGeRh2, with properties calculated at the GGA-PBE level.

The structure belongs to space group P4/mmm (No. 123); the cell edges are 4.466, 4.466 and 4.885 Å and the angles 90.00°, 90.00° and 90.00°. Symmetry generates all atoms from Ti at (0.000, 0.000, 0.000), Nb at (0.000, 0.000, 0.500), Ge at (0.500, 0.500, 0.500) and Rh at (0.000, 0.500, 0.000).

The polymorph energy (0 for the lowest one) is 0.2765 eV per atom. The energy relative to the elements comes out at 0.778 eV/atom. Its raw total energy is -6.6794 eV per atom.

12.
Below is a relaxed structure of SiBiRu3, with properties calculated at the GGA-PBE level.

The structure belongs to space group Pm-3m (No. 221); the cell edges are 4.477, 4.477 and 4.477 Å and the angles 90.00°, 90.00° and 90.00°. Symmetry generates all atoms from Si at (0.000, 0.000, 0.000), Bi at (0.500, 0.500, 0.500) and Ru at (0.000, 0.000, 0.500).

The polymorph energy (0 for the lowest one) is 0.0000 eV per atom. The formation energy (no corrections) is 0.53 eV per atom. Its raw total energy is -6.8936 eV per atom.

13.
Below is a relaxed structure of LaCuCl2, with properties calculated at the GGA-PBE level.

The structure belongs to space group P4mm (No. 99); the cell edges are 3.635, 3.635 and 7.759 Å and the angles 90.00°, 90.00° and 90.00°. Symmetry generates all atoms from La at (0.000, 0.000, 0.000), Cu at (0.500, 0.500, 0.783), Cl at (0.000, 0.000, 0.644) and Cl at (0.500, 0.500, 0.225).

The polymorph energy (0 for the lowest one) is 0.0522 eV per atom. The formation energy (no corrections) is -1.12 eV per atom. Its raw total energy is -4.2951 eV per atom.

14.
Below is a relaxed structure of ScVSe2, with properties calculated at the GGA-PBE level.

The structure belongs to space group Fm-3m (No. 225); the cell edges are 6.474, 6.474 and 6.474 Å and the angles 90.00°, 90.00° and 90.00°. Symmetry generates all atoms from Sc at (0.000, 0.000, 0.000), V at (0.000, 0.000, 0.500) and Se at (0.250, 0.250, 0.250).

The polymorph energy (0 for the lowest one) is 0.2263 eV per atom. The formation energy (no corrections) is -0.77 eV per atom. Its raw total energy is -6.3775 eV per atom.

15.
Below is a relaxed structure of Ho6CdAg3, with properties calculated at the GGA-PBE level.

The structure belongs to space group P2_1/m (No. 11); the cell edges are 9.107, 5.035 and 11.787 Å and the angles 90.00°, 104.96° and 90.00°. Symmetry generates all atoms from Ho at (0.013, 0.250, 0.112), Ho at (0.147, 0.250, 0.712), Ho at (0.223, 0.750, 0.517), Ho at (0.351, 0.750, 0.108), Ho at (0.364, 0.250, 0.346), Ho at (0.383, 0.750, 0.838), Cd at (0.440, 0.250, 0.633), Ag at (0.041, 0.250, 0.373), Ag at (0.159, 0.750, 0.262) and Ag at (0.277, 0.250, 0.972).

The energy relative to the elements comes out at -0.197 eV/atom. Its raw total energy is -3.8903 eV per atom.

16.
Below is a relaxed structure of CrTcCl2, with properties calculated at the GGA-PBE level.

The structure belongs to space group Cm (No. 8); the cell edges are 17.515, 2.917 and 3.171 Å and the angles 90.00°, 90.39° and 90.00°. Symmetry generates all atoms from Cr at (0.000, 0.000, 0.000), Tc at (0.082, 0.500, 0.503), Cl at (0.189, 0.000, 0.507) and Cl at (0.398, 0.000, 0.996).

The polymorph energy (0 for the lowest one) is 0.0025 eV per atom. The formation energy (no corrections) is -0.19 eV per atom. Its raw total energy is -6.1089 eV per atom.

17.
Below is a relaxed structure of PmTcP2Ir, with properties calculated at the GGA-PBE level.

The structure belongs to space group I-4m2 (No. 119); the cell edges are 4.106, 4.106 and 9.941 Å and the angles 90.00°, 90.00° and 90.00°. Symmetry generates all atoms from Pm at (0.000, 0.000, 0.000), Tc at (0.000, 0.500, 0.250), P at (0.000, 0.000, 0.371) and Ir at (0.000, 0.500, 0.750).

The energy relative to the elements comes out at -0.949 eV/atom. Its raw total energy is -7.9081 eV per atom.

18.
Below is a relaxed structure of Th6Ir2PbSe3, with properties calculated at the GGA-PBE level.

The structure belongs to space group C2/m (No. 12); the cell edges are 18.758, 4.216 and 8.840 Å and the angles 90.00°, 103.89° and 90.00°. Symmetry generates all atoms from Th at (0.012, 0.000, 0.270), Th at (0.174, 0.500, 0.113), Th at (0.174, 0.500, 0.563), Ir at (0.170, 0.000, 0.335), Pb at (0.000, 0.500, 0.000), Se at (0.000, 0.500, 0.500) and Se at (0.158, 0.000, 0.833).

The formation energy (no corrections) is -1.14 eV per atom. Its raw total energy is -7.5033 eV per atom.

19.
Below is a relaxed structure of FeCuRh, with properties calculated at the GGA-PBE level.

The structure belongs to space group P4/nmm (No. 129, origin choice 2); the cell edges are 2.950, 2.950 and 8.917 Å and the angles 90.00°, 90.00° and 90.00°. Symmetry generates all atoms from Fe at (0.250, 0.250, 0.080), Cu at (0.250, 0.250, 0.426) and Rh at (0.250, 0.250, 0.755).

The polymorph energy (0 for the lowest one) is 0.0000 eV per atom. The energy relative to the elements comes out at -0.010 eV/atom. Its raw total energy is -6.6465 eV per atom.

20.
Below is a relaxed structure of Cd2ReSb, with properties calculated at the GGA-PBE level.

The structure belongs to space group P4mm (No. 99); the cell edges are 3.150, 3.150 and 8.851 Å and the angles 90.00°, 90.00° and 90.00°. Symmetry generates all atoms from Cd at (0.000, 0.000, 0.000), Cd at (0.500, 0.500, 0.261), Re at (0.000, 0.000, 0.477) and Sb at (0.500, 0.500, 0.662).

The formation energy (no corrections) is 0.41 eV per atom. Its raw total energy is -4.1951 eV per atom.